[1]
A plane-wave DFT calculation with PBE was carried out for a geometry-optimized LaSm2Tm structure. Values from VASP.

- Polymorph energy (0 for the lowest one): 0.132 eV per atom
- M_tot: 1.3 μB per formula unit
- DFT formation energy: 0.16 eV/atom
- Space group: No. 225

Geometry as Quantum ESPRESSO input:
```
&SYSTEM
  ibrav = 0, nat = 16, ntyp = 3
/
ATOMIC_SPECIES
La 138.91 La.upf
Sm 150.36 Sm.upf
Tm 168.93 Tm.upf
CELL_PARAMETERS angstrom
8.175 0.000 0.000
0.000 8.175 0.000
0.000 0.000 8.175
ATOMIC_POSITIONS crystal
La 0.000 0.000 0.000
La 0.000 0.500 0.500
La 0.500 0.000 0.500
La 0.500 0.500 0.000
Sm 0.250 0.250 0.250
Sm 0.250 0.250 0.750
Sm 0.250 0.750 0.250
Sm 0.250 0.750 0.750
Sm 0.750 0.250 0.250
Sm 0.750 0.250 0.750
Sm 0.750 0.750 0.250
Sm 0.750 0.750 0.750
Tm 0.000 0.000 0.500
Tm 0.000 0.500 0.000
Tm 0.500 0.000 0.000
Tm 0.500 0.500 0.500
```

=====

[2]
A plane-wave DFT calculation with PBE was carried out for a geometry-optimized TbZn12Au6 structure. Values from VASP.

- M_tot: 0.0 μB per formula unit
- DFT formation energy: -0.20 eV/atom
- Space group: No. 166

Geometry as Quantum ESPRESSO input:
```
&SYSTEM
  ibrav = 0, nat = 19, ntyp = 3
/
ATOMIC_SPECIES
Tb 158.93 Tb.upf
Zn 65.41 Zn.upf
Au 196.97 Au.upf
CELL_PARAMETERS angstrom
5.794 3.345 2.926
-5.794 3.345 2.926
0.000 -6.690 2.926
ATOMIC_POSITIONS crystal
Tb 0.000 0.000 0.000
Zn 0.108 0.500 0.892
Zn 0.108 0.892 0.500
Zn 0.136 0.380 0.380
Zn 0.380 0.136 0.380
Zn 0.380 0.380 0.136
Zn 0.500 0.108 0.892
Zn 0.500 0.892 0.108
Zn 0.620 0.620 0.864
Zn 0.620 0.864 0.620
Zn 0.864 0.620 0.620
Zn 0.892 0.108 0.500
Zn 0.892 0.500 0.108
Au 0.286 0.712 0.712
Au 0.288 0.288 0.714
Au 0.288 0.714 0.288
Au 0.712 0.286 0.712
Au 0.712 0.712 0.286
Au 0.714 0.288 0.288
```

=====

[3]
A plane-wave DFT calculation with PBE was carried out for a geometry-optimized ZrTiSi structure. Values from VASP.

- Energy relative to the elements, uncorrected: -680 meV/atom
- M_tot: 0.0 μB per formula unit
- Space group: No. 69

Geometry as Quantum ESPRESSO input:
```
&SYSTEM
  ibrav = 0, nat = 6, ntyp = 3
/
ATOMIC_SPECIES
Zr 91.22 Zr.upf
Ti 47.87 Ti.upf
Si 28.09 Si.upf
CELL_PARAMETERS angstrom
0.000 4.410 4.620
2.573 0.000 4.620
2.573 4.410 0.000
ATOMIC_POSITIONS crystal
Zr 0.157 0.843 0.157
Zr 0.843 0.157 0.843
Ti 0.344 0.344 0.656
Ti 0.656 0.656 0.344
Si 0.250 0.250 0.250
Si 0.750 0.750 0.750
```

=====

[4]
A plane-wave DFT calculation with PBE was carried out for a geometry-optimized Cr2RuCl structure. Values from VASP.

- Polymorph energy (0 for the lowest one): 0.521 eV per atom
- Energy relative to the elements, uncorrected: 719 meV/atom
- M_tot: 5.4 μB per formula unit
- Space group: No. 122

Geometry as Quantum ESPRESSO input:
```
&SYSTEM
  ibrav = 0, nat = 16, ntyp = 3
/
ATOMIC_SPECIES
Cr 52.00 Cr.upf
Ru 101.07 Ru.upf
Cl 35.45 Cl.upf
CELL_PARAMETERS angstrom
6.226 0.000 0.000
0.000 6.226 0.000
0.000 0.000 7.716
ATOMIC_POSITIONS crystal
Cr 0.241 0.250 0.125
Cr 0.250 0.741 0.375
Cr 0.250 0.759 0.875
Cr 0.259 0.250 0.625
Cr 0.741 0.750 0.625
Cr 0.750 0.241 0.875
Cr 0.750 0.259 0.375
Cr 0.759 0.750 0.125
Ru 0.000 0.000 0.000
Ru 0.000 0.500 0.250
Ru 0.500 0.000 0.750
Ru 0.500 0.500 0.500
Cl 0.000 0.000 0.500
Cl 0.000 0.500 0.750
Cl 0.500 0.000 0.250
Cl 0.500 0.500 0.000
```

=====

[5]
A plane-wave DFT calculation with PBE was carried out for a geometry-optimized LiNiPb4 structure. Values from VASP.

- M_tot: 0.6 μB per formula unit
- DFT formation energy: 0.50 eV/atom
- Space group: No. 216

Geometry as Quantum ESPRESSO input:
```
&SYSTEM
  ibrav = 0, nat = 6, ntyp = 3
/
ATOMIC_SPECIES
Li 6.94 Li.upf
Ni 58.69 Ni.upf
Pb 207.20 Pb.upf
CELL_PARAMETERS angstrom
0.000 4.497 4.497
4.497 0.000 4.497
4.497 4.497 0.000
ATOMIC_POSITIONS crystal
Li 0.000 0.000 0.000
Ni 0.750 0.750 0.750
Pb 0.375 0.375 0.375
Pb 0.375 0.375 0.874
Pb 0.375 0.874 0.375
Pb 0.874 0.375 0.375
```

=====

[6]
A plane-wave DFT calculation with PBE was carried out for a geometry-optimized NaSn6Te8 structure. Values from VASP.

- Polymorph energy (0 for the lowest one): 0.046 eV per atom
- Energy relative to the elements, uncorrected: -213 meV/atom
- M_tot: 0.0 μB per formula unit
- Space group: No. 148

Geometry as Quantum ESPRESSO input:
```
&SYSTEM
  ibrav = 0, nat = 15, ntyp = 3
/
ATOMIC_SPECIES
Na 22.99 Na.upf
Sn 118.71 Sn.upf
Te 127.60 Te.upf
CELL_PARAMETERS angstrom
5.450 3.147 5.137
-5.450 3.147 5.137
0.000 -6.293 5.137
ATOMIC_POSITIONS crystal
Na 0.000 0.000 0.000
Sn 0.131 0.608 0.376
Sn 0.376 0.131 0.608
Sn 0.392 0.624 0.869
Sn 0.608 0.376 0.131
Sn 0.624 0.869 0.392
Sn 0.869 0.392 0.624
Te 0.152 0.337 0.830
Te 0.170 0.848 0.663
Te 0.273 0.273 0.273
Te 0.337 0.830 0.152
Te 0.663 0.170 0.848
Te 0.727 0.727 0.727
Te 0.830 0.152 0.337
Te 0.848 0.663 0.170
```

=====

Please write out number 2 again, unchanged.
A plane-wave DFT calculation with PBE was carried out for a geometry-optimized TbZn12Au6 structure. Values from VASP.

- M_tot: 0.0 μB per formula unit
- DFT formation energy: -0.20 eV/atom
- Space group: No. 166

Geometry as Quantum ESPRESSO input:
```
&SYSTEM
  ibrav = 0, nat = 19, ntyp = 3
/
ATOMIC_SPECIES
Tb 158.93 Tb.upf
Zn 65.41 Zn.upf
Au 196.97 Au.upf
CELL_PARAMETERS angstrom
5.794 3.345 2.926
-5.794 3.345 2.926
0.000 -6.690 2.926
ATOMIC_POSITIONS crystal
Tb 0.000 0.000 0.000
Zn 0.108 0.500 0.892
Zn 0.108 0.892 0.500
Zn 0.136 0.380 0.380
Zn 0.380 0.136 0.380
Zn 0.380 0.380 0.136
Zn 0.500 0.108 0.892
Zn 0.500 0.892 0.108
Zn 0.620 0.620 0.864
Zn 0.620 0.864 0.620
Zn 0.864 0.620 0.620
Zn 0.892 0.108 0.500
Zn 0.892 0.500 0.108
Au 0.286 0.712 0.712
Au 0.288 0.288 0.714
Au 0.288 0.714 0.288
Au 0.712 0.286 0.712
Au 0.712 0.712 0.286
Au 0.714 0.288 0.288
```

=====

- Among the records above, which one has the highest M_tot?
  Cr2RuCl